A relaxed Nd3HoFe crystal. Source: Alexandria via LeMat-Bulk, functional GGA-PBE.

Properties
ρ = 6.94 g/cm3
Crystal system = cubic
E_form = 0.22 eV per atom

a = 5.388 Å, b = 5.388 Å, c = 5.388 Å
α = 90.00°, β = 90.00°, γ = 90.00°
Space group Pm-3m (No. 221)
Symmetry-distinct sites (fractional):
Nd: 0.000 0.000 0.500
Ho: 0.500 0.500 0.500
Fe: 0.000 0.000 0.000


A relaxed In5BiBr8 crystal. Source: Alexandria via LeMat-Bulk, functional GGA-PBE.

Properties
ρ = 5.00 g/cm3
Crystal system = tetragonal
Formation energy from raw total energies = -0.640 eV/atom

a = 9.682 Å, b = 9.682 Å, c = 10.077 Å
α = 90.00°, β = 90.00°, γ = 90.00°
Space group I-4 (No. 82)
Symmetry-distinct sites (fractional):
In: 0.000 0.000 0.000
In: 0.120 0.737 0.372
Bi: 0.000 0.500 0.750
Br: 0.064 0.673 0.010
Br: 0.072 0.791 0.676


A relaxed TaHgOs2 crystal. Source: Alexandria via LeMat-Bulk, functional GGA-PBE.

Properties
ρ = 18.61 g/cm3
Crystal system = tetragonal
E_form = 0.27 eV per atom

a = 3.201 Å, b = 3.201 Å, c = 6.636 Å
α = 90.00°, β = 90.00°, γ = 90.00°
Space group P4/mmm (No. 123)
Symmetry-distinct sites (fractional):
Ta: 0.000 0.000 0.000
Hg: 0.000 0.000 0.500
Os: 0.500 0.500 0.223


A relaxed Si2SnRhN crystal. Source: Alexandria via LeMat-Bulk, functional GGA-PBE.

Properties
ΔE to the lowest computed polymorph = 0.061 eV per atom
ρ = 6.24 g/cm3
Crystal system = orthorhombic
Formation energy from raw total energies = -0.315 eV/atom

a = 2.896 Å, b = 3.293 Å, c = 8.146 Å
α = 90.00°, β = 90.00°, γ = 90.00°
Space group Pmm2 (No. 25)
Symmetry-distinct sites (fractional):
Si: 0.000 0.000 0.000
Si: 0.500 0.000 0.359
Sn: 0.000 0.500 0.695
Rh: 0.500 0.500 0.140
N: 0.000 0.000 0.486


> Which value of ρ does entry 3 give?

18.61 g/cm3


> The lowest ρ belongs to which entry?

In5BiBr8